GaPb3Au3: optimized geometry, PBE.

abc: 4.3701 6.0720 13.8908
angles: 86.90 80.95 68.91
With the nearest neighbours (Å) after each atom.
Positions (direct):
Au (0.0333, 0.1616, 0.7718)  1 Ga 2.62, 1 Au 2.91
Pb (0.4953, 0.6353, 0.3742)  6 Au 3.18-3.26, 3 Ga 3.24-3.31
Pb (0.2498, 0.2813, 0.2192)  6 Au 3.02-3.33
Au (0.1415, 0.2629, 0.4541)  3 Ga 2.60-2.71
Ga (0.7746, 0.0532, 0.3977)  4 Au 2.60-2.71
Au (0.9667, 0.8384, 0.2282)  1 Ga 2.62, 1 Au 2.91
Pb (0.3937, 0.2890, 0.9236)  5 Au 2.98-3.10
Pb (0.5047, 0.3647, 0.6258)  6 Au 3.18-3.26, 3 Ga 3.24-3.31
Pb (0.6063, 0.7110, 0.0764)  5 Au 2.98-3.10
Pb (0.7502, 0.7187, 0.7808)  6 Au 3.02-3.33
Ga (0.2254, 0.9468, 0.6023)  4 Au 2.60-2.71
Au (0.8710, 0.1856, 0.0724)  2 Au 2.89-2.91, 5 Pb 2.98-3.05
Au (0.1290, 0.8144, 0.9276)  2 Au 2.89-2.91, 5 Pb 2.98-3.05
Au (0.8585, 0.7371, 0.5459)  3 Ga 2.60-2.71

Calculated volume ... 340 Å³/cell
Space group ... No. 12
Crystal system ... monoclinic
Magnetic moment ... 0.00 Bohr magnetons per cell
Calculated total energy ... -3.532 eV per atom